(1)
Ac8AlSn2 | PBE | relaxed

Its symmetry is C2/m (12). Its volume is 430 Å³ per cell. For the calculated formation energy, the calculation gives -0.265 eV/atom. Its total energy is -4.32 eV/atom.

a = 5.604 Å, b = 7.506 Å, c = 10.882 Å
α = 103.30°, β = 104.92°, γ = 90.00°
Sites, in units of the cell vectors:
Ac: 0.212 0.323 0.424
Al: 0.500 0.000 0.000
Sn: 0.818 0.246 0.636
Ac: 0.343 0.010 0.686
Ac: 0.410 0.535 0.819
Ac: 0.788 0.677 0.576
Sn: 0.182 0.754 0.364
Ac: 0.590 0.465 0.181
Ac: 0.020 0.777 0.040
Ac: 0.980 0.223 0.960
Ac: 0.657 0.990 0.314

***

(2)
Ac3Al2Sn2 | PBE | relaxed

Its symmetry is Immm (71). Its volume is 224 Å³ per cell. For the calculated formation energy, the calculation gives -0.590 eV/atom. Its total energy is -4.56 eV/atom.

a = 4.509 Å, b = 4.862 Å, c = 10.726 Å
α = 103.10°, β = 102.13°, γ = 90.00°
Site moments in Bohr magnetons follow the coordinates.
Sites, in units of the cell vectors:
Sn: 0.859 0.359 0.718  -0.01
Ac: 0.316 0.816 0.632  0.10
Al: 0.563 0.563 0.125  0.00
Ac: 0.684 0.184 0.368  0.10
Al: 0.437 0.437 0.875  0.00
Sn: 0.141 0.641 0.282  -0.01
Ac: 0.000 0.000 0.000  0.01

***

(3)
Ac8AlSn5 | PBE | relaxed

Its symmetry is I-4 (82). Its volume is 525 Å³ per cell. For the calculated formation energy, the calculation gives -0.585 eV/atom. Its total energy is -4.63 eV/atom.

a = 8.803 Å, b = 8.803 Å, c = 8.803 Å
α = 109.56°, β = 109.29°, γ = 109.56°
Sites, in units of the cell vectors:
Ac: 0.621 0.885 0.871
Sn: 0.500 0.000 0.500
Ac: 0.125 0.753 0.517
Sn: 0.751 0.624 0.624
Sn: 0.873 0.873 0.249
Ac: 0.627 0.392 0.875
Ac: 0.483 0.608 0.236
Sn: 0.376 0.127 0.000
Ac: 0.129 0.750 0.014
Ac: 0.264 0.250 0.379
Ac: 0.764 0.247 0.373
Al: 0.250 0.500 0.750
Sn: 0.000 0.376 0.127
Ac: 0.986 0.115 0.736

***

(4)
Ac2Al3Sn2 | PBE | relaxed

Its symmetry is C2/m (12). Its volume is 197 Å³ per cell. For the calculated formation energy, the calculation gives -0.452 eV/atom. Its total energy is -4.37 eV/atom. As for the energy above the lowest structure with this stoichiometry: 0.000 eV per atom.

a = 4.459 Å, b = 6.634 Å, c = 7.090 Å
α = 94.53°, β = 90.00°, γ = 109.64°
Sites, in units of the cell vectors:
Sn: 0.854 0.708 0.796
Sn: 0.146 0.292 0.204
Ac: 0.145 0.290 0.718
Ac: 0.855 0.710 0.282
Al: 0.565 0.130 0.369
Al: 0.435 0.870 0.631
Al: 0.500 0.000 0.000

***

(5)
Ac3Al2Sn3 | PBE | relaxed

Its symmetry is Cmcm (63). Its volume is 481 Å³ per cell. For the calculated formation energy, the calculation gives -0.549 eV/atom. Its total energy is -4.53 eV/atom. As for the energy above the lowest structure with this stoichiometry: 0.000 eV per atom.

a = 4.678 Å, b = 6.649 Å, c = 16.516 Å
α = 90.00°, β = 90.00°, γ = 110.59°
Sites, in units of the cell vectors:
Ac: 0.649 0.297 0.250
Sn: 0.636 0.272 0.460
Sn: 0.636 0.272 0.040
Ac: 0.351 0.703 0.750
Sn: 0.366 0.731 0.250
Sn: 0.364 0.728 0.540
Al: 0.224 0.449 0.391
Ac: 0.938 0.876 0.110
Sn: 0.364 0.728 0.960
Al: 0.776 0.551 0.609
Al: 0.776 0.551 0.891
Ac: 0.938 0.876 0.390
Al: 0.224 0.449 0.109
Ac: 0.062 0.124 0.890
Sn: 0.634 0.269 0.750
Ac: 0.062 0.124 0.610

***

(6)
Ac5AlSn6 | PBE | relaxed

Its symmetry is C2/m (12). Its volume is 389 Å³ per cell. For the calculated formation energy, the calculation gives -0.514 eV/atom. Its total energy is -4.54 eV/atom.

a = 5.104 Å, b = 10.793 Å, c = 9.659 Å
α = 56.03°, β = 74.70°, γ = 61.82°
Sites, in units of the cell vectors:
Sn: 0.250 0.587 0.327
Sn: 0.750 0.413 0.673
Ac: 0.000 0.675 0.650
Sn: 0.759 0.741 0.000
Al: 0.000 0.000 0.000
Ac: 0.000 0.325 0.350
Ac: 0.500 0.500 0.000
Sn: 0.250 0.913 0.673
Sn: 0.241 0.259 0.000
Ac: 0.500 0.141 0.718
Sn: 0.750 0.087 0.327
Ac: 0.500 0.859 0.282

***

(7)
Ac12Al2Sn5 | PBE | relaxed

Its symmetry is C2/m (12). Its volume is 795 Å³ per cell. For the calculated formation energy, the calculation gives -0.300 eV/atom. Its total energy is -4.34 eV/atom.

a = 8.036 Å, b = 10.438 Å, c = 10.605 Å
α = 103.21°, β = 90.00°, γ = 112.64°
Sites, in units of the cell vectors:
Sn: 0.319 0.638 0.168
Al: 0.663 0.000 0.000
Ac: 0.910 0.336 0.094
Ac: 0.607 0.698 0.427
Ac: 0.393 0.302 0.573
Ac: 0.090 0.664 0.906
Ac: 0.908 0.302 0.573
Ac: 0.574 0.664 0.906
Ac: 0.505 0.010 0.285
Ac: 0.014 0.028 0.823
Sn: 0.000 0.000 0.500
Sn: 0.302 0.603 0.638
Ac: 0.092 0.698 0.427
Ac: 0.495 0.990 0.715
Ac: 0.986 0.972 0.177
Sn: 0.681 0.362 0.832
Al: 0.337 0.000 0.000
Ac: 0.426 0.336 0.094
Sn: 0.698 0.397 0.362

***

(8)
Ac3Al2Sn4 | PBE | relaxed

Its symmetry is C2/m (12). Its volume is 270 Å³ per cell. For the calculated formation energy, the calculation gives -0.512 eV/atom. Its total energy is -4.49 eV/atom.

a = 4.883 Å, b = 6.588 Å, c = 9.662 Å
α = 109.37°, β = 90.00°, γ = 111.75°
Sites, in units of the cell vectors:
Sn: 0.903 0.805 0.603
Ac: 0.000 0.000 0.000
Al: 0.685 0.370 0.345
Al: 0.315 0.630 0.655
Sn: 0.712 0.423 0.068
Ac: 0.624 0.247 0.690
Sn: 0.097 0.195 0.397
Sn: 0.288 0.577 0.932
Ac: 0.376 0.753 0.310

***

(9)
Ac2Al2Sn | PBE | relaxed

Its symmetry is Amm2 (38). Its volume is 152 Å³ per cell. For the calculated formation energy, the calculation gives -0.385 eV/atom. Its total energy is -4.33 eV/atom.

a = 4.623 Å, b = 4.428 Å, c = 7.755 Å
α = 106.59°, β = 90.00°, γ = 90.00°
Sites, in units of the cell vectors:
Al: 0.500 0.315 0.631
Ac: 0.000 0.685 0.369
Sn: 0.500 0.111 0.222
Ac: 0.000 0.930 0.860
Al: 0.500 0.501 0.002

***

(10)
Ac8AlSn6 | PBE | relaxed

Its symmetry is R-3 (148). Its volume is 593 Å³ per cell. For the calculated formation energy, the calculation gives -0.501 eV/atom. Its total energy is -4.54 eV/atom.

a = 9.997 Å, b = 9.997 Å, c = 8.957 Å
α = 56.08°, β = 56.08°, γ = 60.00°
Sites, in units of the cell vectors:
Sn: 0.560 0.934 0.215
Sn: 0.291 0.560 0.215
Ac: 0.104 0.372 0.711
Ac: 0.334 0.334 0.998
Al: 0.000 0.000 0.000
Ac: 0.896 0.628 0.289
Ac: 0.813 0.104 0.711
Ac: 0.372 0.813 0.711
Sn: 0.934 0.291 0.215
Ac: 0.666 0.666 0.002
Sn: 0.066 0.709 0.785
Ac: 0.187 0.896 0.289
Sn: 0.709 0.440 0.785
Sn: 0.440 0.066 0.785
Ac: 0.628 0.187 0.289

***

(11)
Ac3Al2Sn3 | PBE | relaxed

Its symmetry is Cmcm (63). Its volume is 502 Å³ per cell. For the calculated formation energy, the calculation gives -0.482 eV/atom. Its total energy is -4.46 eV/atom. As for the energy above the lowest structure with this stoichiometry: 0.067 eV per atom.

a = 4.949 Å, b = 6.502 Å, c = 16.859 Å
α = 90.00°, β = 90.00°, γ = 112.37°
Sites, in units of the cell vectors:
Ac: 0.648 0.295 0.452
Al: 0.877 0.753 0.673
Al: 0.877 0.753 0.827
Sn: 0.065 0.130 0.918
Sn: 0.065 0.130 0.582
Ac: 0.594 0.189 0.750
Ac: 0.648 0.295 0.048
Ac: 0.406 0.811 0.250
Sn: 0.306 0.613 0.750
Ac: 0.352 0.705 0.952
Al: 0.123 0.247 0.173
Sn: 0.935 0.870 0.418
Sn: 0.935 0.870 0.082
Ac: 0.352 0.705 0.548
Al: 0.123 0.247 0.327
Sn: 0.694 0.387 0.250

***

(12)
Ac4AlSn | PBE | relaxed

Its symmetry is F-43m (216). Its volume is 911 Å³ per cell. For the calculated formation energy, the calculation gives -0.264 eV/atom. Its total energy is -4.29 eV/atom. As for the energy above the lowest structure with this stoichiometry: 0.000 eV per atom.

a = 10.881 Å, b = 10.881 Å, c = 10.881 Å
α = 60.00°, β = 60.00°, γ = 60.00°
Sites, in units of the cell vectors:
Ac: 0.556 0.944 0.944
Sn: 0.598 0.598 0.598
Ac: 0.191 0.809 0.191
Ac: 0.191 0.191 0.809
Ac: 0.375 0.375 0.375
Ac: 0.944 0.556 0.944
Ac: 0.944 0.944 0.556
Ac: 0.375 0.875 0.375
Sn: 0.598 0.207 0.598
Ac: 0.556 0.944 0.556
Ac: 0.556 0.556 0.944
Ac: 0.375 0.375 0.875
Ac: 0.191 0.809 0.809
Ac: 0.944 0.556 0.556
Al: 0.157 0.528 0.157
Ac: 0.809 0.809 0.191
Sn: 0.598 0.598 0.207
Sn: 0.207 0.598 0.598
Al: 0.528 0.157 0.157
Ac: 0.809 0.191 0.809
Ac: 0.875 0.375 0.375
Ac: 0.809 0.191 0.191
Al: 0.157 0.157 0.157
Al: 0.157 0.157 0.528

***

no.,total moment (μB per atom),DOS at the Fermi energy (states/eV per atom)
1,0.0000,1.0419
2,0.1156,0.7110
3,0.0000,0.7748
4,0.0000,0.2796
5,0.0000,0.8256
6,0.0000,0.7451
7,0.0005,1.2566
8,0.0000,0.5136
9,0.0000,0.6416
10,0.0000,0.4738
11,0.0000,0.4243
12,0.0138,1.2854